CsCo3Re | PBE-GGA | relaxed

Cell and atoms, written as CIF:
```
data_CsCo3Re
_chemical_formula_sum 'Cs1 Co3 Re1'
_cell_length_a 4.599
_cell_length_b 4.599
_cell_length_c 4.599
_cell_angle_alpha 90.00
_cell_angle_beta 90.00
_cell_angle_gamma 90.00
_space_group_name_H-M_alt 'P 1'
_space_group_IT_number 1
_space_group_name_Hall 'P 1'
loop_
_atom_site_label
_atom_site_type_symbol
_atom_site_fract_x
_atom_site_fract_y
_atom_site_fract_z
Cs1 Cs 0.000 0.000 0.000
Re1 Re 0.500 0.500 0.500
Co1 Co 0.000 0.500 0.000
Co2 Co 0.000 0.000 0.500
Co3 Co 0.500 0.000 0.000
```

Computed properties:
Mass density   8.47 g/cm³
E_form   3.0444 eV/atom

=====

CsCoRe3 | PBE-GGA | relaxed

Cell and atoms, written as CIF:
```
data_CsCoRe3
_chemical_formula_sum 'Cs1 Co1 Re3'
_cell_length_a 4.820
_cell_length_b 4.820
_cell_length_c 4.820
_cell_angle_alpha 90.00
_cell_angle_beta 90.00
_cell_angle_gamma 90.00
_space_group_name_H-M_alt 'P 1'
_space_group_IT_number 1
_space_group_name_Hall 'P 1'
loop_
_atom_site_label
_atom_site_type_symbol
_atom_site_fract_x
_atom_site_fract_y
_atom_site_fract_z
Cs1 Cs 0.000 0.000 0.000
Re1 Re 0.000 0.500 0.000
Re2 Re 0.000 0.000 0.500
Re3 Re 0.500 0.000 0.000
Co1 Co 0.500 0.500 0.500
```

Computed properties:
Mass density   11.13 g/cm³
E_form   4.4557 eV/atom

=====

CsCo2Re4 | PBE-GGA | relaxed

Cell and atoms, written as CIF:
```
data_CsCo2Re4
_chemical_formula_sum 'Cs1 Co2 Re4'
_cell_length_a 4.835
_cell_length_b 4.835
_cell_length_c 6.859
_cell_angle_alpha 69.36
_cell_angle_beta 69.36
_cell_angle_gamma 90.00
_space_group_name_H-M_alt 'P 1'
_space_group_IT_number 1
_space_group_name_Hall 'P 1'
loop_
_atom_site_label
_atom_site_type_symbol
_atom_site_fract_x
_atom_site_fract_y
_atom_site_fract_z
Cs1 Cs 0.000 0.000 0.000
Re1 Re 0.778 0.778 0.443
Re2 Re 0.222 0.222 0.557
Re3 Re 0.000 0.500 0.000
Re4 Re 0.500 0.000 0.000
Co1 Co 0.597 0.597 0.806
Co2 Co 0.403 0.403 0.194
```

Computed properties:
Mass density   11.89 g/cm³
E_form   3.2682 eV/atom

=====

CsCoRe2S8 | PBE-GGA | relaxed

Cell and atoms, written as CIF:
```
data_CsCoRe2S8
_chemical_formula_sum 'Cs1 Co1 Re2 S8'
_cell_length_a 6.144
_cell_length_b 6.144
_cell_length_c 10.182
_cell_angle_alpha 72.44
_cell_angle_beta 72.44
_cell_angle_gamma 60.00
_space_group_name_H-M_alt 'P 1'
_space_group_IT_number 1
_space_group_name_Hall 'P 1'
loop_
_atom_site_label
_atom_site_type_symbol
_atom_site_fract_x
_atom_site_fract_y
_atom_site_fract_z
Cs1 Cs 0.500 0.500 0.500
Co1 Co 0.000 0.000 0.000
Re1 Re 0.261 0.261 0.218
Re2 Re 0.739 0.739 0.782
S1 S 0.185 0.185 0.445
S2 S 0.633 0.258 0.143
S3 S 0.815 0.815 0.555
S4 S 0.967 0.633 0.143
S5 S 0.033 0.367 0.857
S6 S 0.258 0.967 0.143
S7 S 0.742 0.033 0.857
S8 S 0.367 0.742 0.857
```

Computed properties:
E_form (uncorrected)   -0.37 eV/atom
Mass density   4.37 g/cm³

=====

CsCoRh3 | PBE-GGA | relaxed

Cell and atoms, written as CIF:
```
data_CsCoRh3
_chemical_formula_sum 'Cs1 Co1 Rh3'
_cell_length_a 4.897
_cell_length_b 4.897
_cell_length_c 4.897
_cell_angle_alpha 90.00
_cell_angle_beta 90.00
_cell_angle_gamma 90.00
_space_group_name_H-M_alt 'P 1'
_space_group_IT_number 1
_space_group_name_Hall 'P 1'
loop_
_atom_site_label
_atom_site_type_symbol
_atom_site_fract_x
_atom_site_fract_y
_atom_site_fract_z
Cs1 Cs 0.000 0.000 0.000
Co1 Co 0.500 0.500 0.500
Rh1 Rh 0.000 0.500 0.000
Rh2 Rh 0.000 0.000 0.500
Rh3 Rh 0.500 0.000 0.000
```

Computed properties:
Mass density   7.08 g/cm³
E_form   2.4373 eV/atom

=====

CsCo3Rh | PBE-GGA | relaxed

Cell and atoms, written as CIF:
```
data_CsCo3Rh
_chemical_formula_sum 'Cs1 Co3 Rh1'
_cell_length_a 4.598
_cell_length_b 4.598
_cell_length_c 4.598
_cell_angle_alpha 90.00
_cell_angle_beta 90.00
_cell_angle_gamma 90.00
_space_group_name_H-M_alt 'P 1'
_space_group_IT_number 1
_space_group_name_Hall 'P 1'
loop_
_atom_site_label
_atom_site_type_symbol
_atom_site_fract_x
_atom_site_fract_y
_atom_site_fract_z
Cs1 Cs 0.000 0.000 0.000
Co1 Co 0.000 0.500 0.000
Co2 Co 0.000 0.000 0.500
Co3 Co 0.500 0.000 0.000
Rh1 Rh 0.500 0.500 0.500
```

Computed properties:
Mass density   7.05 g/cm³
E_form   2.6010 eV/atom

=====

CsCoRh3 | PBE-GGA | relaxed

Cell and atoms, written as CIF:
```
data_CsCoRh3
_chemical_formula_sum 'Cs1 Co1 Rh3'
_cell_length_a 4.679
_cell_length_b 4.679
_cell_length_c 4.679
_cell_angle_alpha 90.00
_cell_angle_beta 90.00
_cell_angle_gamma 90.00
_space_group_name_H-M_alt 'P 1'
_space_group_IT_number 1
_space_group_name_Hall 'P 1'
loop_
_atom_site_label
_atom_site_type_symbol
_atom_site_fract_x
_atom_site_fract_y
_atom_site_fract_z
Cs1 Cs 0.500 0.500 0.500
Co1 Co 0.000 0.000 0.000
Rh1 Rh 0.000 0.500 0.000
Rh2 Rh 0.000 0.000 0.500
Rh3 Rh 0.500 0.000 0.000
```

Computed properties:
Mass density   8.12 g/cm³
E_form   1.1435 eV/atom

=====

CsCoRhS3 | PBE-GGA | relaxed

Cell and atoms, written as CIF:
```
data_CsCoRhS3
_chemical_formula_sum 'Cs2 Co2 Rh2 S6'
_cell_length_a 3.683
_cell_length_b 8.655
_cell_length_c 9.544
_cell_angle_alpha 117.90
_cell_angle_beta 90.00
_cell_angle_gamma 90.00
_space_group_name_H-M_alt 'P 1'
_space_group_IT_number 1
_space_group_name_Hall 'P 1'
loop_
_atom_site_label
_atom_site_type_symbol
_atom_site_fract_x
_atom_site_fract_y
_atom_site_fract_z
Cs1 Cs 0.250 0.243 0.259
Cs2 Cs 0.750 0.757 0.741
Co1 Co 0.250 0.086 0.603
Co2 Co 0.750 0.914 0.397
Rh1 Rh 0.250 0.682 0.155
Rh2 Rh 0.750 0.318 0.845
S1 S 0.750 0.864 0.149
S2 S 0.250 0.136 0.851
S3 S 0.250 0.801 0.446
S4 S 0.750 0.199 0.554
S5 S 0.750 0.489 0.129
S6 S 0.250 0.511 0.871
```

Computed properties:
E_form (uncorrected)   -0.62 eV/atom
Mass density   4.83 g/cm³

=====

Cs2CoRhS4 | PBE-GGA | relaxed

Cell and atoms, written as CIF:
```
data_Cs2CoRhS4
_chemical_formula_sum 'Cs4 Co2 Rh2 S8'
_cell_length_a 5.404
_cell_length_b 7.654
_cell_length_c 12.438
_cell_angle_alpha 85.60
_cell_angle_beta 77.45
_cell_angle_gamma 69.33
_space_group_name_H-M_alt 'P 1'
_space_group_IT_number 1
_space_group_name_Hall 'P 1'
loop_
_atom_site_label
_atom_site_type_symbol
_atom_site_fract_x
_atom_site_fract_y
_atom_site_fract_z
Cs1 Cs 0.178 0.000 0.644
Cs2 Cs 0.822 0.000 0.356
Cs3 Cs 0.572 0.500 0.856
Cs4 Cs 0.928 0.500 0.144
Co1 Co 0.250 0.500 0.500
Co2 Co 0.500 0.000 0.000
Rh1 Rh 0.750 0.500 0.500
Rh2 Rh 0.000 0.000 0.000
S1 S 0.301 0.825 0.102
S2 S 0.229 0.175 0.898
S3 S 0.874 0.825 0.898
S4 S 0.596 0.175 0.102
S5 S 0.449 0.675 0.398
S6 S 0.521 0.325 0.602
S7 S 0.876 0.675 0.602
S8 S 0.154 0.325 0.398
```

Computed properties:
E_form (uncorrected)   -0.68 eV/atom
Mass density   3.93 g/cm³

=====

CsCoRhSe3 | PBE-GGA | relaxed

Cell and atoms, written as CIF:
```
data_CsCoRhSe3
_chemical_formula_sum 'Cs2 Co2 Rh2 Se6'
_cell_length_a 3.835
_cell_length_b 9.027
_cell_length_c 10.007
_cell_angle_alpha 118.28
_cell_angle_beta 90.00
_cell_angle_gamma 90.00
_space_group_name_H-M_alt 'P 1'
_space_group_IT_number 1
_space_group_name_Hall 'P 1'
loop_
_atom_site_label
_atom_site_type_symbol
_atom_site_fract_x
_atom_site_fract_y
_atom_site_fract_z
Cs1 Cs 0.250 0.244 0.262
Cs2 Cs 0.750 0.756 0.738
Co1 Co 0.250 0.084 0.601
Co2 Co 0.750 0.916 0.399
Rh1 Rh 0.250 0.684 0.156
Rh2 Rh 0.750 0.316 0.844
Se1 Se 0.750 0.867 0.149
Se2 Se 0.250 0.133 0.851
Se3 Se 0.250 0.792 0.446
Se4 Se 0.750 0.208 0.554
Se5 Se 0.750 0.487 0.130
Se6 Se 0.250 0.513 0.870
```

Computed properties:
E_form (uncorrected)   -0.56 eV/atom
Mass density   5.79 g/cm³

=====

Cs2CoRhSe4 | PBE-GGA | relaxed

Cell and atoms, written as CIF:
```
data_Cs2CoRhSe4
_chemical_formula_sum 'Cs4 Co2 Rh2 Se8'
_cell_length_a 5.641
_cell_length_b 7.928
_cell_length_c 12.672
_cell_angle_alpha 85.46
_cell_angle_beta 77.14
_cell_angle_gamma 69.16
_space_group_name_H-M_alt 'P 1'
_space_group_IT_number 1
_space_group_name_Hall 'P 1'
loop_
_atom_site_label
_atom_site_type_symbol
_atom_site_fract_x
_atom_site_fract_y
_atom_site_fract_z
Cs1 Cs 0.181 0.000 0.639
Cs2 Cs 0.819 0.000 0.361
Cs3 Cs 0.569 0.500 0.861
Cs4 Cs 0.931 0.500 0.139
Co1 Co 0.250 0.500 0.500
Co2 Co 0.500 0.000 0.000
Rh1 Rh 0.750 0.500 0.500
Rh2 Rh 0.000 0.000 0.000
Se1 Se 0.300 0.821 0.108
Se2 Se 0.229 0.179 0.892
Se3 Se 0.880 0.821 0.892
Se4 Se 0.592 0.179 0.108
Se5 Se 0.450 0.679 0.392
Se6 Se 0.521 0.321 0.608
Se7 Se 0.870 0.679 0.608
Se8 Se 0.158 0.321 0.392
```

Computed properties:
E_form (uncorrected)   -0.62 eV/atom
Mass density   4.78 g/cm³

=====

CsCoRu3 | PBE-GGA | relaxed

Cell and atoms, written as CIF:
```
data_CsCoRu3
_chemical_formula_sum 'Cs1 Co1 Ru3'
_cell_length_a 4.828
_cell_length_b 4.828
_cell_length_c 4.828
_cell_angle_alpha 90.00
_cell_angle_beta 90.00
_cell_angle_gamma 90.00
_space_group_name_H-M_alt 'P 1'
_space_group_IT_number 1
_space_group_name_Hall 'P 1'
loop_
_atom_site_label
_atom_site_type_symbol
_atom_site_fract_x
_atom_site_fract_y
_atom_site_fract_z
Cs1 Cs 0.000 0.000 0.000
Ru1 Ru 0.000 0.500 0.000
Ru2 Ru 0.000 0.000 0.500
Ru3 Ru 0.500 0.000 0.000
Co1 Co 0.500 0.500 0.500
```

Computed properties:
Mass density   7.30 g/cm³
E_form   3.3543 eV/atom

=====

no.,raw total energy (eV/atom)
1,-3.88
2,-4.61
3,-6.00
4,-5.86
5,-3.57
6,-3.30
7,-4.86
8,-5.24
9,-4.76
10,-4.86
11,-4.39
12,-3.80